1.
Density functional theory data (PBE) for Dy2Ga6Ru after structural relaxation.

Structure (POSCAR):
```
Dy2Ga6Ru
1.0
5.784 0.000 0.000
-2.892 5.009 0.000
0.000 0.000 5.769
Dy Ga Ru
2 6 1
Cartesian
0.000 3.340 0.865 Dy
2.892 1.670 4.904 Dy
0.000 1.752 3.923 Ga
-1.375 4.134 3.923 Ga
1.517 0.876 1.845 Ga
1.375 4.134 3.923 Ga
4.267 0.876 1.845 Ga
2.892 3.258 1.845 Ga
0.000 0.000 0.000 Ru
```

* energy of formation: -4.6 eV per formula unit
* symmetry: P-3m1 (164)
* DFT total energy: -4.586 eV/atom

=====

2.
Density functional theory data (PBE) for Dy8GaRu2 after structural relaxation.

Structure (POSCAR):
```
Dy8GaRu2
1.0
4.325 -6.480 0.000
4.325 6.480 0.000
-1.340 0.000 5.298
Dy Ga Ru
8 1 2
Cartesian
0.930 1.704 3.104 Dy
4.325 3.362 0.000 Dy
0.930 -1.704 3.104 Dy
3.000 0.000 1.038 Dy
4.310 0.000 4.260 Dy
6.381 1.704 2.195 Dy
4.325 -3.362 0.000 Dy
6.381 -1.704 2.195 Dy
0.000 0.000 0.000 Ga
3.655 2.432 2.649 Ru
3.655 -2.432 2.649 Ru
```

* energy of formation: -2.6 eV per formula unit
* symmetry: C2/m (12)
* DFT total energy: -5.543 eV/atom

=====

3.
Density functional theory data (PBE) for Dy6GaRu5 after structural relaxation.

Structure (POSCAR):
```
Dy6GaRu5
1.0
4.835 0.000 0.000
0.000 6.893 0.000
-2.429 0.000 7.252
Dy Ga Ru
6 1 5
Cartesian
0.000 1.648 0.000 Dy
0.000 5.245 0.000 Dy
-0.007 1.702 4.776 Dy
-0.007 5.192 4.776 Dy
2.413 1.702 2.476 Dy
2.413 5.192 2.476 Dy
2.418 3.447 0.000 Ga
-0.008 3.447 2.369 Ru
-0.004 0.000 2.417 Ru
2.418 0.000 0.000 Ru
2.411 0.000 4.835 Ru
2.414 3.447 4.883 Ru
```

* energy of formation: -4.8 eV per formula unit
* symmetry: P2/m (10)
* DFT total energy: -6.819 eV/atom

=====

4.
Density functional theory data (PBE) for Dy3GaRu2 after structural relaxation.

Structure (POSCAR):
```
Dy3GaRu2
1.0
3.458 0.000 0.000
0.000 3.458 0.000
0.000 0.000 10.438
Dy Ga Ru
3 1 2
Cartesian
0.000 0.000 0.000 Dy
0.000 0.000 3.328 Dy
0.000 0.000 7.110 Dy
1.729 1.729 5.219 Ga
1.729 1.729 1.730 Ru
1.729 1.729 8.708 Ru
```

* energy of formation: -2.8 eV per formula unit
* symmetry: P4/mmm (123)
* DFT total energy: -6.357 eV/atom